No. 1
The following is a PBE-GGA calculation of an optimized crystal structure of AgMo2Se, from the Alexandria database.

```
data_AgMo2Se
_chemical_formula_sum 'Ag1 Mo2 Se1'
_cell_length_a 2.894
_cell_length_b 4.238
_cell_length_c 5.618
_cell_angle_alpha 90.00
_cell_angle_beta 102.66
_cell_angle_gamma 90.00
_symmetry_space_group_name_H-M 'P 1 2/m 1'
_symmetry_Int_Tables_number 10
loop_
_symmetry_equiv_pos_as_xyz
'x,y,z'
'-x,-y,-z'
'-x,y,-z'
'x,-y,z'
loop_
_atom_site_label
_atom_site_type_symbol
_atom_site_fract_x
_atom_site_fract_y
_atom_site_fract_z
_atom_site_occupancy
Ag1 Ag 0.000 0.000 0.000 1
Mo1 Mo 0.428 0.500 0.746 1
Se1 Se 0.500 0.000 0.500 1
```



No. 2
The following is a PBE-GGA calculation of an optimized crystal structure of Ag2MoSe, from the Alexandria database.

```
data_Ag2MoSe
_chemical_formula_sum 'Ag2 Mo1 Se1'
_cell_length_a 3.864
_cell_length_b 3.864
_cell_length_c 4.923
_cell_angle_alpha 90.00
_cell_angle_beta 90.00
_cell_angle_gamma 90.00
_symmetry_space_group_name_H-M 'P 4/m m m'
_symmetry_Int_Tables_number 123
_symmetry_space_group_name_Hall '-P 4 2'
loop_
_atom_site_label
_atom_site_type_symbol
_atom_site_fract_x
_atom_site_fract_y
_atom_site_fract_z
_atom_site_occupancy
Ag1 Ag 0.000 0.500 0.000 1
Mo1 Mo 0.000 0.000 0.500 1
Se1 Se 0.500 0.500 0.500 1
```



No. 3
The following is a PBE-GGA calculation of an optimized crystal structure of Ag2MoSe, from the Alexandria database.

```
data_Ag2MoSe
_chemical_formula_sum 'Ag6 Mo3 Se3'
_cell_length_a 2.9147
_cell_length_b 2.9147
_cell_length_c 29.3701
_cell_angle_alpha 90.00
_cell_angle_beta 90.00
_cell_angle_gamma 120.00
_symmetry_space_group_name_H-M 'R -3 m'
_symmetry_Int_Tables_number 166
_symmetry_space_group_name_Hall '-R 3 2"'
loop_
_atom_site_label
_atom_site_type_symbol
_atom_site_fract_x
_atom_site_fract_y
_atom_site_fract_z
_atom_site_occupancy
Ag1 Ag 0.0000 0.0000 0.2471 1
Mo1 Mo 0.0000 0.0000 0.5000 1
Se1 Se 0.0000 0.0000 0.0000 1
```



No. 4
The following is a PBE-GGA calculation of an optimized crystal structure of Ag2MoSe, from the Alexandria database.

```
data_Ag2MoSe
_chemical_formula_sum 'Ag2 Mo1 Se1'
_cell_length_a 3.093
_cell_length_b 3.093
_cell_length_c 7.585
_cell_angle_alpha 90.00
_cell_angle_beta 90.00
_cell_angle_gamma 90.00
_symmetry_space_group_name_H-M 'P 4 m m'
_symmetry_Int_Tables_number 99
loop_
_symmetry_equiv_pos_as_xyz
'x,y,z'
'-y,x,z'
'-x,-y,z'
'y,-x,z'
'-x,y,z'
'y,x,z'
'x,-y,z'
'-y,-x,z'
loop_
_atom_site_label
_atom_site_type_symbol
_atom_site_fract_x
_atom_site_fract_y
_atom_site_fract_z
_atom_site_occupancy
Ag1 Ag 0.000 0.000 0.000 1
Ag2 Ag 0.500 0.500 0.248 1
Mo1 Mo 0.000 0.000 0.508 1
Se1 Se 0.500 0.500 0.689 1
```



No. 5
The following is a PBE-GGA calculation of an optimized crystal structure of AgMoSe4, from the Alexandria database.

```
data_AgMoSe4
_chemical_formula_sum 'Ag2 Mo2 Se8'
_cell_length_a 6.463
_cell_length_b 7.246
_cell_length_c 7.494
_cell_angle_alpha 102.24
_cell_angle_beta 109.82
_cell_angle_gamma 113.32
_symmetry_space_group_name_H-M 'P -1'
_symmetry_Int_Tables_number 2
loop_
_symmetry_equiv_pos_as_xyz
'x,y,z'
'-x,-y,-z'
loop_
_atom_site_label
_atom_site_type_symbol
_atom_site_fract_x
_atom_site_fract_y
_atom_site_fract_z
_atom_site_occupancy
Ag1 Ag 0.100 0.269 0.402 1
Mo1 Mo 0.283 0.502 0.000 1
Se1 Se 0.145 0.808 0.025 1
Se2 Se 0.176 0.634 0.299 1
Se3 Se 0.250 0.176 0.737 1
Se4 Se 0.477 0.642 0.775 1
```



No. 6
The following is a PBE-GGA calculation of an optimized crystal structure of AgMoSe2, from the Alexandria database.

```
data_AgMoSe2
_chemical_formula_sum 'Ag1 Mo1 Se2'
_cell_length_a 3.152
_cell_length_b 3.152
_cell_length_c 7.355
_cell_angle_alpha 90.00
_cell_angle_beta 90.00
_cell_angle_gamma 90.00
_symmetry_space_group_name_H-M 'P 4/m m m'
_symmetry_Int_Tables_number 123
_symmetry_space_group_name_Hall '-P 4 2'
loop_
_atom_site_label
_atom_site_type_symbol
_atom_site_fract_x
_atom_site_fract_y
_atom_site_fract_z
_atom_site_occupancy
Ag1 Ag 0.000 0.000 0.000 1
Mo1 Mo 0.000 0.000 0.500 1
Se1 Se 0.500 0.500 0.292 1
```



No. 7
The following is a PBE-GGA calculation of an optimized crystal structure of AgMo2Se, from the Alexandria database.

```
data_AgMo2Se
_chemical_formula_sum 'Ag2 Mo4 Se2'
_cell_length_a 9.108
_cell_length_b 3.153
_cell_length_c 5.068
_cell_angle_alpha 90.00
_cell_angle_beta 100.71
_cell_angle_gamma 90.00
_symmetry_space_group_name_H-M 'C 1 m 1'
_symmetry_Int_Tables_number 8
loop_
_symmetry_equiv_pos_as_xyz
'x,y,z'
'x,-y,z'
'x+1/2,y+1/2,z'
'x+1/2,-y+1/2,z'
loop_
_atom_site_label
_atom_site_type_symbol
_atom_site_fract_x
_atom_site_fract_y
_atom_site_fract_z
_atom_site_occupancy
Ag1 Ag 0.000 0.000 0.000 1
Mo1 Mo 0.026 0.500 0.535 1
Mo2 Mo 0.246 0.000 0.695 1
Se1 Se 0.276 0.500 0.306 1
```



No. 8
The following is a PBE-GGA calculation of an optimized crystal structure of Ag2MoSe, from the Alexandria database.

```
data_Ag2MoSe
_chemical_formula_sum 'Ag2 Mo1 Se1'
_cell_length_a 3.131
_cell_length_b 4.375
_cell_length_c 5.144
_cell_angle_alpha 90.00
_cell_angle_beta 90.00
_cell_angle_gamma 90.00
_symmetry_space_group_name_H-M 'P m m m'
_symmetry_Int_Tables_number 47
loop_
_symmetry_equiv_pos_as_xyz
'x,y,z'
'-x,-y,-z'
'-x,-y,z'
'x,y,-z'
'x,-y,-z'
'-x,y,z'
'-x,y,-z'
'x,-y,z'
loop_
_atom_site_label
_atom_site_type_symbol
_atom_site_fract_x
_atom_site_fract_y
_atom_site_fract_z
_atom_site_occupancy
Ag1 Ag 0.000 0.000 0.000 1
Ag2 Ag 0.500 0.500 0.000 1
Mo1 Mo 0.000 0.500 0.500 1
Se1 Se 0.500 0.000 0.500 1
```



No. 9
The following is a PBE-GGA calculation of an optimized crystal structure of Ag2MoSe, from the Alexandria database.

```
data_Ag2MoSe
_chemical_formula_sum 'Ag8 Mo4 Se4'
_cell_length_a 7.759
_cell_length_b 7.759
_cell_length_c 5.123
_cell_angle_alpha 90.00
_cell_angle_beta 90.00
_cell_angle_gamma 90.00
_symmetry_space_group_name_H-M 'I -4 2 d'
_symmetry_Int_Tables_number 122
_symmetry_space_group_name_Hall 'I -4 2bw'
loop_
_atom_site_label
_atom_site_type_symbol
_atom_site_fract_x
_atom_site_fract_y
_atom_site_fract_z
_atom_site_occupancy
Ag1 Ag 0.231 0.250 0.125 1
Mo1 Mo 0.000 0.000 0.500 1
Se1 Se 0.000 0.000 0.000 1
```



No. 10
The following is a PBE-GGA calculation of an optimized crystal structure of AgMoSe2, from the Alexandria database.

```
data_AgMoSe2
_chemical_formula_sum 'Ag2 Mo2 Se4'
_cell_length_a 3.360
_cell_length_b 4.691
_cell_length_c 10.151
_cell_angle_alpha 90.00
_cell_angle_beta 90.00
_cell_angle_gamma 90.00
_symmetry_space_group_name_H-M 'C m m 2'
_symmetry_Int_Tables_number 35
loop_
_symmetry_equiv_pos_as_xyz
'x,y,z'
'-x,-y,z'
'-x,y,z'
'x,-y,z'
'x+1/2,y+1/2,z'
'-x+1/2,-y+1/2,z'
'-x+1/2,y+1/2,z'
'x+1/2,-y+1/2,z'
loop_
_atom_site_label
_atom_site_type_symbol
_atom_site_fract_x
_atom_site_fract_y
_atom_site_fract_z
_atom_site_occupancy
Ag1 Ag 0.000 0.000 0.000 1
Mo1 Mo 0.000 0.500 0.234 1
Se1 Se 0.000 0.000 0.420 1
Se2 Se 0.000 0.500 0.768 1
```



No. 11
The following is a PBE-GGA calculation of an optimized crystal structure of AgMoSe2, from the Alexandria database.

```
data_AgMoSe2
_chemical_formula_sum 'Ag4 Mo4 Se8'
_cell_length_a 6.757
_cell_length_b 6.757
_cell_length_c 6.757
_cell_angle_alpha 90.00
_cell_angle_beta 90.00
_cell_angle_gamma 90.00
_symmetry_space_group_name_H-M 'F -4 3 m'
_symmetry_Int_Tables_number 216
_symmetry_space_group_name_Hall 'F -4 2 3'
loop_
_atom_site_label
_atom_site_type_symbol
_atom_site_fract_x
_atom_site_fract_y
_atom_site_fract_z
_atom_site_occupancy
Ag1 Ag 0.000 0.000 0.000 1
Mo1 Mo 0.250 0.250 0.750 1
Se1 Se 0.000 0.000 0.500 1
Se2 Se 0.250 0.250 0.250 1
```



No. 12
The following is a PBE-GGA calculation of an optimized crystal structure of AgMoSe2, from the Alexandria database.

```
data_AgMoSe2
_chemical_formula_sum 'Ag2 Mo2 Se4'
_cell_length_a 3.070
_cell_length_b 4.962
_cell_length_c 12.146
_cell_angle_alpha 90.00
_cell_angle_beta 90.00
_cell_angle_gamma 90.00
_symmetry_space_group_name_H-M 'I m m m'
_symmetry_Int_Tables_number 71
_symmetry_space_group_name_Hall '-I 2 2'
loop_
_atom_site_label
_atom_site_type_symbol
_atom_site_fract_x
_atom_site_fract_y
_atom_site_fract_z
_atom_site_occupancy
Ag1 Ag 0.000 0.000 0.000 1
Mo1 Mo 0.000 0.000 0.500 1
Se1 Se 0.000 0.500 0.161 1
```



No. 13
The following is a PBE-GGA calculation of an optimized crystal structure of AgMoSe2, from the Alexandria database.

```
data_AgMoSe2
_chemical_formula_sum 'Ag2 Mo2 Se4'
_cell_length_a 3.862
_cell_length_b 3.862
_cell_length_c 10.222
_cell_angle_alpha 90.00
_cell_angle_beta 90.00
_cell_angle_gamma 90.00
_symmetry_space_group_name_H-M 'I -4 m 2'
_symmetry_Int_Tables_number 119
_symmetry_space_group_name_Hall 'I -4 -2'
loop_
_atom_site_label
_atom_site_type_symbol
_atom_site_fract_x
_atom_site_fract_y
_atom_site_fract_z
_atom_site_occupancy
Ag1 Ag 0.000 0.000 0.000 1
Mo1 Mo 0.000 0.500 0.750 1
Se1 Se 0.000 0.000 0.500 1
Se2 Se 0.000 0.500 0.250 1
```



No. 14
The following is a PBE-GGA calculation of an optimized crystal structure of Ag2MoSe, from the Alexandria database.

```
data_Ag2MoSe
_chemical_formula_sum 'Ag4 Mo2 Se2'
_cell_length_a 3.049
_cell_length_b 4.464
_cell_length_c 11.917
_cell_angle_alpha 90.00
_cell_angle_beta 90.00
_cell_angle_gamma 90.00
_symmetry_space_group_name_H-M 'I m m 2'
_symmetry_Int_Tables_number 44
loop_
_symmetry_equiv_pos_as_xyz
'x,y,z'
'-x,-y,z'
'-x,y,z'
'x,-y,z'
'x+1/2,y+1/2,z+1/2'
'-x+1/2,-y+1/2,z+1/2'
'-x+1/2,y+1/2,z+1/2'
'x+1/2,-y+1/2,z+1/2'
loop_
_atom_site_label
_atom_site_type_symbol
_atom_site_fract_x
_atom_site_fract_y
_atom_site_fract_z
_atom_site_occupancy
Ag1 Ag 0.000 0.000 0.000 1
Ag2 Ag 0.000 0.500 0.147 1
Mo1 Mo 0.000 0.000 0.429 1
Se1 Se 0.000 0.500 0.768 1
```



No. 15
The following is a PBE-GGA calculation of an optimized crystal structure of AgMo2Se, from the Alexandria database.

```
data_AgMo2Se
_chemical_formula_sum 'Ag1 Mo2 Se1'
_cell_length_a 3.831
_cell_length_b 3.831
_cell_length_c 4.661
_cell_angle_alpha 90.00
_cell_angle_beta 90.00
_cell_angle_gamma 90.00
_symmetry_space_group_name_H-M 'P 4/m m m'
_symmetry_Int_Tables_number 123
_symmetry_space_group_name_Hall '-P 4 2'
loop_
_atom_site_label
_atom_site_type_symbol
_atom_site_fract_x
_atom_site_fract_y
_atom_site_fract_z
_atom_site_occupancy
Ag1 Ag 0.000 0.000 0.000 1
Mo1 Mo 0.000 0.500 0.500 1
Se1 Se 0.500 0.500 0.000 1
```



No. 16
The following is a PBE-GGA calculation of an optimized crystal structure of AgMoSe2, from the Alexandria database.

```
data_AgMoSe2
_chemical_formula_sum 'Ag4 Mo4 Se8'
_cell_length_a 6.019
_cell_length_b 6.019
_cell_length_c 11.257
_cell_angle_alpha 90.00
_cell_angle_beta 90.00
_cell_angle_gamma 90.00
_symmetry_space_group_name_H-M 'I -4 2 d'
_symmetry_Int_Tables_number 122
_symmetry_space_group_name_Hall 'I -4 2bw'
loop_
_atom_site_label
_atom_site_type_symbol
_atom_site_fract_x
_atom_site_fract_y
_atom_site_fract_z
_atom_site_occupancy
Ag1 Ag 0.000 0.000 0.000 1
Mo1 Mo 0.000 0.000 0.500 1
Se1 Se 0.216 0.250 0.625 1
```



No. 17
The following is a PBE-GGA calculation of an optimized crystal structure of AgMoSe2, from the Alexandria database.

```
data_AgMoSe2
_chemical_formula_sum 'Ag3 Mo3 Se6'
_cell_length_a 3.3020
_cell_length_b 3.3020
_cell_length_c 26.1121
_cell_angle_alpha 90.00
_cell_angle_beta 90.00
_cell_angle_gamma 120.00
_symmetry_space_group_name_H-M 'R -3 m'
_symmetry_Int_Tables_number 166
_symmetry_space_group_name_Hall '-R 3 2"'
loop_
_atom_site_label
_atom_site_type_symbol
_atom_site_fract_x
_atom_site_fract_y
_atom_site_fract_z
_atom_site_occupancy
Ag1 Ag 0.0000 0.0000 0.0000 1
Mo1 Mo 0.0000 0.0000 0.5000 1
Se1 Se 0.0000 0.0000 0.1010 1
```



No. 18
The following is a PBE-GGA calculation of an optimized crystal structure of AgMo2Se2, from the Alexandria database.

```
data_AgMo2Se2
_chemical_formula_sum 'Ag2 Mo4 Se4'
_cell_length_a 7.323
_cell_length_b 7.323
_cell_length_c 3.209
_cell_angle_alpha 90.00
_cell_angle_beta 90.00
_cell_angle_gamma 90.00
_symmetry_space_group_name_H-M 'P 4/m b m'
_symmetry_Int_Tables_number 127
_symmetry_space_group_name_Hall '-P 4 2ab'
loop_
_atom_site_label
_atom_site_type_symbol
_atom_site_fract_x
_atom_site_fract_y
_atom_site_fract_z
_atom_site_occupancy
Ag1 Ag 0.000 0.000 0.000 1
Mo1 Mo 0.141 0.359 0.000 1
Se1 Se 0.150 0.650 0.500 1
```



No. 19
The following is a PBE-GGA calculation of an optimized crystal structure of AgMo2Se, from the Alexandria database.

```
data_AgMo2Se
_chemical_formula_sum 'Ag2 Mo4 Se2'
_cell_length_a 3.855
_cell_length_b 3.855
_cell_length_c 9.164
_cell_angle_alpha 90.00
_cell_angle_beta 90.00
_cell_angle_gamma 90.00
_symmetry_space_group_name_H-M 'I 4/m m m'
_symmetry_Int_Tables_number 139
_symmetry_space_group_name_Hall '-I 4 2'
loop_
_atom_site_label
_atom_site_type_symbol
_atom_site_fract_x
_atom_site_fract_y
_atom_site_fract_z
_atom_site_occupancy
Ag1 Ag 0.000 0.000 0.000 1
Mo1 Mo 0.000 0.500 0.250 1
Se1 Se 0.000 0.000 0.500 1
```



No. 20
The following is a PBE-GGA calculation of an optimized crystal structure of Ag2MoSe, from the Alexandria database.

```
data_Ag2MoSe
_chemical_formula_sum 'Ag2 Mo1 Se1'
_cell_length_a 2.779
_cell_length_b 2.779
_cell_length_c 9.487
_cell_angle_alpha 90.00
_cell_angle_beta 90.00
_cell_angle_gamma 90.00
_symmetry_space_group_name_H-M 'P 4/m m m'
_symmetry_Int_Tables_number 123
_symmetry_space_group_name_Hall '-P 4 2'
loop_
_atom_site_label
_atom_site_type_symbol
_atom_site_fract_x
_atom_site_fract_y
_atom_site_fract_z
_atom_site_occupancy
Ag1 Ag 0.000 0.000 0.231 1
Mo1 Mo 0.500 0.500 0.000 1
Se1 Se 0.500 0.500 0.500 1
```



Magnetization in μB/f.u., matching the order above: 0.0; 2.6; 0.7; 0.0; 0.0; 0.0; 0.0; 0.0; 1.5; 0.0; 2.8; 0.0; 2.5; 0.0; 0.0; 0.0; 0.0; 1.0; 0.0; 0.0
ΔE_f (raw) in kJ/mol of atoms, matching the order above: 51.4; 50.4; 45.3; 14.3; -20.1; -6.2; 42.2; 44.2; 60.2; 26.2; 71.8; 6.9; 43.8; 39.7; 67.3; 8.6; -18.0; 25.1; 65.3; 39.3
DFT total energy in eV per atom, matching the order above: -6.466; -4.482; -4.535; -4.856; -4.812; -5.227; -6.562; -4.546; -4.381; -4.892; -4.419; -5.092; -4.709; -4.593; -6.302; -5.074; -5.350; -6.037; -6.323; -4.598